Version a
Here is crystalline ZrScMo2 at its relaxed geometry from the Alexandria database. Energies are from PBE-GGA.

abc: 4.679 3.998 3.998
angles: 90.00 90.00 90.00
Sites, in units of the cell vectors:
Mo 0.000 0.500 0.500
Mo 0.000 0.000 0.000
Sc 0.500 0.500 0.000
Zr 0.500 0.000 0.500

Computed properties:
- Spin magnetization: 0.000 μB per formula unit
- SG: P4/mmm (123)
- Calculated volume: 18.691 Å³ per atom

=====

Version b
Here is crystalline ZrScMo2 at its relaxed geometry from the Alexandria database. Energies are from PBE-GGA.

abc: 5.464 5.464 2.889
angles: 79.65 79.65 115.30
Sites, in units of the cell vectors:
Sc 0.500 0.000 0.500
Zr 0.000 0.500 0.500
Mo 0.000 0.000 0.000
Mo 0.500 0.500 0.000

Computed properties:
- Spin magnetization: 0.000 μB per formula unit
- SG: C2/m (12)
- Calculated volume: 18.361 Å³ per atom

=====

Result of the stability comparison: version a is the least stable of them.

=====

Version a
Here is crystalline ZrScMo2 at its relaxed geometry from the Alexandria database. Energies are from PBE-GGA.

abc: 10.026 10.026 10.026
angles: 17.03 17.03 17.03
Sites, in units of the cell vectors:
Mo 0.502 0.502 0.502
Mo 0.998 0.998 0.998
Sc 0.250 0.250 0.250
Zr 0.750 0.750 0.750

Computed properties:
- Spin magnetization: 0.000 μB per formula unit
- SG: R-3m (166)
- Calculated volume: 18.866 Å³ per atom

=====

Version b
Here is crystalline ZrScMo2 at its relaxed geometry from the Alexandria database. Energies are from PBE-GGA.

abc: 4.698 4.698 4.698
angles: 120.07 120.07 89.88
Sites, in units of the cell vectors:
Sc 0.500 0.500 0.000
Mo 0.250 0.750 0.500
Mo 0.000 0.000 0.000
Zr 0.750 0.250 0.500

Computed properties:
- Spin magnetization: 0.000 μB per formula unit
- SG: I-4m2 (119)
- Calculated volume: 18.305 Å³ per atom

=====

Version c
Here is crystalline ZrScMo2 at its relaxed geometry from the Alexandria database. Energies are from PBE-GGA.

abc: 5.622 5.622 5.622
angles: 145.78 129.56 62.37
Sites, in units of the cell vectors:
Mo 0.775 0.275 0.500
Mo 0.975 0.975 0.000
Sc 0.511 0.511 0.000
Zr 0.239 0.739 0.500

Computed properties:
- Spin magnetization: 0.000 μB per formula unit
- SG: Imm2 (44)
- Calculated volume: 19.056 Å³ per atom

=====

Version d
Here is crystalline ZrScMo2 at its relaxed geometry from the Alexandria database. Energies are from PBE-GGA.

abc: 3.222 3.222 7.456
angles: 90.00 90.00 90.00
Last column: magnetic moment on the atom in μB.
Sites, in units of the cell vectors:
Sc 0.000 0.000 0.464  0.12
Mo 0.500 0.500 0.220  -0.01
Mo 0.000 0.000 0.030  0.01
Zr 0.500 0.500 0.787  0.23

Computed properties:
- Spin magnetization: 0.570 μB per formula unit
- SG: P4mm (99)
- Calculated volume: 19.350 Å³ per atom

=====

Result of the stability comparison: version a is the least stable of them.

=====

Version a
Here is crystalline ZrScMo2 at its relaxed geometry from the Alexandria database. Energies are from PBE-GGA.

abc: 4.461 3.032 5.695
angles: 77.37 90.00 90.00
Sites, in units of the cell vectors:
Mo 0.000 0.034 0.023
Mo 0.500 0.218 0.229
Sc 0.000 0.474 0.483
Zr 0.500 0.774 0.766

Computed properties:
- Spin magnetization: 0.000 μB per formula unit
- SG: Pm (6)
- Calculated volume: 18.789 Å³ per atom

=====

Version b
Here is crystalline ZrScMo2 at its relaxed geometry from the Alexandria database. Energies are from PBE-GGA.

abc: 4.611 2.885 5.582
angles: 81.29 90.00 90.00
Sites, in units of the cell vectors:
Mo 0.000 0.522 0.497
Mo 0.000 0.978 0.003
Zr 0.500 0.750 0.750
Sc 0.500 0.250 0.250

Computed properties:
- Spin magnetization: 0.000 μB per formula unit
- SG: P2/m (10)
- Calculated volume: 18.350 Å³ per atom

=====

Version c
Here is crystalline ZrScMo2 at its relaxed geometry from the Alexandria database. Energies are from PBE-GGA.

abc: 3.335 4.807 4.578
angles: 90.00 90.00 90.00
Sites, in units of the cell vectors:
Mo 0.000 0.000 0.000
Mo 0.500 0.500 0.000
Sc 0.500 0.000 0.500
Zr 0.000 0.500 0.500

Computed properties:
- Spin magnetization: 0.000 μB per formula unit
- SG: Pmmm (47)
- Calculated volume: 18.348 Å³ per atom

=====

Version d
Here is crystalline ZrScMo2 at its relaxed geometry from the Alexandria database. Energies are from PBE-GGA.

abc: 2.936 2.936 9.565
angles: 90.00 90.00 112.34
Sites, in units of the cell vectors:
Zr 0.500 0.500 0.776
Mo 0.000 0.000 0.020
Mo 0.500 0.500 0.231
Sc 0.000 0.000 0.473

Computed properties:
- Spin magnetization: 0.000 μB per formula unit
- SG: Cmm2 (35)
- Calculated volume: 19.066 Å³ per atom

=====

Result of the stability comparison: version c is the least stable of them.

=====

Version a
Here is crystalline ZrScMo2 at its relaxed geometry from the Alexandria database. Energies are from PBE-GGA.

abc: 2.748 4.779 5.684
angles: 90.00 90.00 90.00
Sites, in units of the cell vectors:
Mo 0.000 0.000 0.013
Mo 0.000 0.000 0.487
Sc 0.500 0.500 0.250
Zr 0.500 0.500 0.750

Computed properties:
- Spin magnetization: 0.000 μB per formula unit
- SG: Pmmm (47)
- Calculated volume: 18.661 Å³ per atom

=====

Version b
Here is crystalline ZrScMo2 at its relaxed geometry from the Alexandria database. Energies are from PBE-GGA.

abc: 4.698 4.698 3.347
angles: 90.00 90.00 90.00
Sites, in units of the cell vectors:
Mo 0.500 0.500 0.000
Mo 0.000 0.000 0.000
Sc 0.500 0.000 0.500
Zr 0.000 0.500 0.500

Computed properties:
- Spin magnetization: 0.000 μB per formula unit
- SG: P4/mmm (123)
- Calculated volume: 18.472 Å³ per atom

=====

Version c
Here is crystalline ZrScMo2 at its relaxed geometry from the Alexandria database. Energies are from PBE-GGA.

abc: 5.544 5.544 2.764
angles: 90.00 90.00 118.70
Sites, in units of the cell vectors:
Mo 0.500 0.500 0.000
Mo 0.000 0.000 0.000
Sc 0.500 0.000 0.500
Zr 0.000 0.500 0.500

Computed properties:
- Spin magnetization: 0.000 μB per formula unit
- SG: Cmmm (65)
- Calculated volume: 18.628 Å³ per atom

=====

Result of the stability comparison: version c is the least stable of them.

=====

Version a
Here is crystalline ZrScMo at its relaxed geometry from the Alexandria database. Energies are from PBE-GGA.

abc: 7.679 7.679 7.679
angles: 158.53 158.53 30.54
Sites, in units of the cell vectors:
Zr 0.657 0.657 0.000
Sc 0.346 0.346 0.000
Mo 0.997 0.997 0.000

Computed properties:
- Spin magnetization: 0.000 μB per formula unit
- SG: I4mm (107)
- Calculated volume: 20.203 Å³ per atom

=====

Version b
Here is crystalline ZrScMo at its relaxed geometry from the Alexandria database. Energies are from PBE-GGA.

abc: 4.581 4.581 4.581
angles: 60.00 60.00 60.00
Sites, in units of the cell vectors:
Sc 0.000 0.000 0.000
Zr 0.500 0.500 0.500
Mo 0.750 0.750 0.750

Computed properties:
- Spin magnetization: 0.000 μB per formula unit
- SG: F-43m (216)
- Calculated volume: 22.654 Å³ per atom

=====

Version c
Here is crystalline ZrScMo at its relaxed geometry from the Alexandria database. Energies are from PBE-GGA.

abc: 5.016 5.016 5.016
angles: 145.86 121.22 69.76
Sites, in units of the cell vectors:
Mo 0.001 0.001 0.000
Zr 0.329 0.329 0.000
Sc 0.670 0.670 0.000

Computed properties:
- Spin magnetization: 0.000 μB per formula unit
- SG: Imm2 (44)
- Calculated volume: 19.880 Å³ per atom

=====

Version d
Here is crystalline ZrScMo at its relaxed geometry from the Alexandria database. Energies are from PBE-GGA.

abc: 5.377 5.377 9.505
angles: 90.00 90.00 116.72
Sites, in units of the cell vectors:
Zr 0.661 0.339 0.168
Zr 0.661 0.339 0.832
Zr 0.337 0.663 0.713
Zr 0.337 0.663 0.287
Mo 0.845 0.155 0.500
Mo 0.161 0.839 0.000
Mo 0.652 0.838 0.000
Mo 0.162 0.348 0.000
Sc 0.990 0.010 0.754
Sc 0.990 0.010 0.246
Sc 0.845 0.641 0.500
Sc 0.359 0.155 0.500

Computed properties:
- Spin magnetization: 0.000 μB per formula unit
- SG: Amm2 (38)
- Calculated volume: 20.458 Å³ per atom

=====

Result of the stability comparison: version b is the least stable of them.

=====

Version a
Here is crystalline ZrScMo at its relaxed geometry from the Alexandria database. Energies are from PBE-GGA.

abc: 3.266 3.266 6.807
angles: 90.00 90.00 120.00
Sites, in units of the cell vectors:
Mo 0.000 0.000 0.993
Zr 0.333 0.667 0.705
Sc 0.667 0.333 0.302

Computed properties:
- Spin magnetization: 0.000 μB per formula unit
- SG: P3m1 (156)
- Calculated volume: 20.965 Å³ per atom

=====

Version b
Here is crystalline ZrScMo at its relaxed geometry from the Alexandria database. Energies are from PBE-GGA.

abc: 5.804 5.804 5.804
angles: 145.62 145.62 49.41
Sites, in units of the cell vectors:
Zr 0.640 0.640 0.000
Mo 0.009 0.009 0.000
Sc 0.351 0.351 0.000

Computed properties:
- Spin magnetization: 0.000 μB per formula unit
- SG: I4mm (107)
- Calculated volume: 20.679 Å³ per atom

=====

Result of the stability comparison: version a is the least stable of them.